No. 1
Entry from the Alexandria database: a crystal of LiCdH2S relaxed with PBEsol (SCAN).

Final energy in eV for the cell shown: -48.49

Cell: 3.6504 3.6504 5.0254 Å, 90.00 90.00 90.00°
Positions (direct):
Li: 0.0000 0.0000 0.0000
Cd: 0.5000 0.5000 0.5000
H: 0.0000 0.5000 0.0000
H: 0.5000 0.0000 0.0000
S: 0.0000 0.0000 0.5000

---

No. 2
Entry from the Alexandria database: a crystal of Sr2LiCdH relaxed with PBEsol (SCAN).

Final energy in eV for the cell shown: -82.53

Cell: 5.4570 5.4570 4.1396 Å, 90.00 90.00 90.00°
Positions (direct):
Sr: 0.0000 0.5000 0.0000
Sr: 0.5000 0.0000 0.0000
Li: 0.0000 0.0000 0.5000
Cd: 0.5000 0.5000 0.5000
H: 0.0000 0.0000 0.0000